Record 1
Ru2PtAu | PBE-GGA | optimized geometry

**Uncorrected energy**: -6.754 eV/atom
**Volume**: 15.3 A^3/atom
**Magnetic moment**: 0.0 μB/f.u.
**E_form**: 0.85 eV/f.u.

Unit cell a=4.8221 b=4.8221 c=4.8406 alpha=80.48 beta=80.48 gamma=33.49
With the nearest neighbours (Å) after each atom.
Sites, in units of the cell vectors:
Pt 0.2546 0.2546 0.2466  7 Ru 2.70-2.88, 3 Au 2.73-2.83, 2 Pt 2.78
Au 0.4979 0.4979 0.4978  3 Pt 2.73-2.83, 7 Ru 2.74-2.86, 2 Au 2.78
Ru 0.7422 0.7422 0.7717  5 Ru 2.64-2.80, 4 Pt 2.70-2.88, 3 Au 2.81-2.86
Ru 0.0053 0.0053 0.9838  5 Ru 2.64-2.80, 4 Au 2.74-2.84, 3 Pt 2.81-2.82



Record 2
RuPtAu2 | PBE-GGA | optimized geometry

**Uncorrected energy**: -5.148 eV/atom
**Volume**: 16.6 A^3/atom
**Magnetic moment**: 2.2 μB/f.u.
**E_form**: 1.28 eV/f.u.

Unit cell a=4.9787 b=4.9787 c=4.9787 alpha=132.29 beta=132.29 gamma=69.78
With the nearest neighbours (Å) after each atom.
Sites, in units of the cell vectors:
Au 0.0000 0.0000 0.0000  4 Au 2.85, 4 Pt 2.87, 4 Ru 2.87
Pt 0.2500 0.7500 0.5000  4 Ru 2.85, 8 Au 2.87
Au 0.5000 0.5000 0.0000  4 Au 2.85, 4 Ru 2.87, 4 Pt 2.87
Ru 0.7500 0.2500 0.5000  4 Pt 2.85, 8 Au 2.87



Record 3
RuPtAu2 | PBE-GGA | optimized geometry

**Uncorrected energy**: -5.098 eV/atom
**Volume**: 16.7 A^3/atom
**Magnetic moment**: 1.9 μB/f.u.
**E_form**: 1.48 eV/f.u.

Unit cell a=5.3120 b=5.3120 c=5.3120 alpha=144.41 beta=129.01 gamma=63.72
With the nearest neighbours (Å) after each atom.
Sites, in units of the cell vectors:
Ru 0.2595 0.7595 0.5000  2 Pt 2.66, 6 Au 2.81-2.83
Pt 0.4929 0.4929 0.0000  2 Ru 2.66, 6 Au 2.79-2.81
Au 0.7448 0.2448 0.5000  2 Pt 2.79, 4 Ru 2.81, 2 Au 2.84
Au 0.0028 0.0028 0.0000  4 Pt 2.81, 2 Ru 2.83, 2 Au 2.84



Record 4
Ru2PtAu | PBE-GGA | optimized geometry

**Uncorrected energy**: -6.667 eV/atom
**Volume**: 15.3 A^3/atom
**Magnetic moment**: 0.0 μB/f.u.
**E_form**: 1.20 eV/f.u.

Unit cell a=2.7688 b=3.9461 c=5.6177 alpha=90.00 beta=90.00 gamma=90.00
With the nearest neighbours (Å) after each atom.
Sites, in units of the cell vectors:
Ru 0.0000 0.0000 0.9855  3 Ru 2.65-2.77, 4 Pt 2.75, 4 Au 2.83
Pt 0.5000 0.5000 0.7500  8 Ru 2.75, 2 Pt 2.77, 2 Au 2.81
Au 0.5000 0.5000 0.2500  2 Au 2.77, 2 Pt 2.81, 8 Ru 2.83
Ru 0.0000 0.0000 0.5145  3 Ru 2.65-2.77, 4 Pt 2.75, 4 Au 2.83



Record 5
RuPt2Au | PBE-GGA | optimized geometry

**Uncorrected energy**: -5.977 eV/atom
**Volume**: 15.8 A^3/atom
**Magnetic moment**: 0.3 μB/f.u.
**E_form**: 0.73 eV/f.u.

Unit cell a=6.2554 b=4.9112 c=2.7914 alpha=90.02 beta=63.45 gamma=120.65
With the nearest neighbours (Å) after each atom.
Sites, in units of the cell vectors:
Pt 0.5000 0.0000 0.5000  4 Pt 2.79-2.80, 4 Ru 2.82-2.83, 4 Au 2.82-2.83
Au 0.5000 0.5000 0.0000  2 Au 2.79, 2 Ru 2.80, 8 Pt 2.82-2.83
Pt 0.0000 0.0000 0.0000  4 Pt 2.79-2.80, 4 Au 2.82-2.83, 4 Ru 2.82-2.83
Ru 0.0000 0.5000 0.5000  2 Ru 2.79, 2 Au 2.80, 8 Pt 2.82-2.83



Record 6
RuPt2Au | PBE-GGA | optimized geometry

**Uncorrected energy**: -6.113 eV/atom
**Volume**: 15.8 A^3/atom
**Magnetic moment**: 0.0 μB/f.u.
**E_form**: 0.18 eV/f.u.

Unit cell a=2.8109 b=2.8109 c=8.0129 alpha=90.00 beta=90.00 gamma=90.00
With the nearest neighbours (Å) after each atom.
Sites, in units of the cell vectors:
Pt 0.0000 0.0000 0.4794  4 Ru 2.71, 4 Pt 2.81, 4 Au 2.94
Ru 0.5000 0.5000 0.2500  8 Pt 2.71, 4 Ru 2.81
Pt 0.0000 0.0000 0.0206  4 Ru 2.71, 4 Pt 2.81, 4 Au 2.94
Au 0.5000 0.5000 0.7500  4 Au 2.81, 8 Pt 2.94



Record 7
RuPtAu2 | PBE-GGA | optimized geometry

**Uncorrected energy**: -5.305 eV/atom
**Volume**: 16.4 A^3/atom
**Magnetic moment**: 0.0 μB/f.u.
**E_form**: 0.65 eV/f.u.

Unit cell a=9.6328 b=9.6328 c=9.6328 alpha=16.86 beta=16.86 gamma=16.86
With the nearest neighbours (Å) after each atom.
Sites, in units of the cell vectors:
Ru 0.7530 0.7530 0.7530  3 Pt 2.70, 6 Ru 2.82, 3 Au 2.86
Au 0.2478 0.2478 0.2478  9 Au 2.82-3.02, 3 Pt 2.94
Au 0.0039 0.0039 0.0039  9 Au 2.82-3.02, 3 Ru 2.86
Pt 0.4952 0.4952 0.4952  3 Ru 2.70, 6 Pt 2.82, 3 Au 2.94



Record 8
RuPt4Au | PBE-GGA | optimized geometry

**Uncorrected energy**: -5.781 eV/atom
**Volume**: 17.1 A^3/atom
**Magnetic moment**: 2.9 μB/f.u.
**E_form**: 2.03 eV/f.u.

Unit cell a=5.2524 b=5.2524 c=5.2524 alpha=60.00 beta=60.00 gamma=60.00
With the nearest neighbours (Å) after each atom.
Sites, in units of the cell vectors:
Pt 0.8748 0.3751 0.3751  6 Pt 2.62-2.63
Pt 0.3751 0.3751 0.3751  6 Pt 2.62-2.63
Au 0.0000 0.0000 0.0000  12 Pt 3.08, 4 Ru 3.22
Ru 0.7500 0.7500 0.7500  12 Pt 3.08, 4 Au 3.22
Pt 0.3751 0.3751 0.8748  6 Pt 2.62-2.63
Pt 0.3751 0.8748 0.3751  6 Pt 2.62-2.63



Record 9
RuPt2Au | PBE-GGA | optimized geometry

**Uncorrected energy**: -6.118 eV/atom
**Volume**: 15.8 A^3/atom
**Magnetic moment**: 0.0 μB/f.u.
**E_form**: 0.16 eV/f.u.

Unit cell a=9.4982 b=9.4982 c=9.4982 alpha=16.89 beta=16.89 gamma=16.89
With the nearest neighbours (Å) after each atom.
Sites, in units of the cell vectors:
Au 0.7500 0.7500 0.7500  6 Au 2.79, 6 Pt 2.95
Pt 0.5048 0.5048 0.5048  3 Ru 2.73, 6 Pt 2.79, 3 Au 2.95
Pt 0.9952 0.9952 0.9952  3 Ru 2.73, 6 Pt 2.79, 3 Au 2.95
Ru 0.2500 0.2500 0.2500  6 Pt 2.73, 6 Ru 2.79



Record 10
Ru4PtAu | PBE-GGA | optimized geometry

**Uncorrected energy**: -7.113 eV/atom
**Volume**: 15.8 A^3/atom
**Magnetic moment**: 4.2 μB/f.u.
**E_form**: 3.75 eV/f.u.

Unit cell a=5.1215 b=5.1215 c=5.1215 alpha=60.00 beta=60.00 gamma=60.00
With the nearest neighbours (Å) after each atom.
Sites, in units of the cell vectors:
Pt 0.0000 0.0000 0.0000  12 Ru 3.00, 4 Au 3.14
Ru 0.3749 0.3749 0.3749  6 Ru 2.56
Ru 0.3749 0.3749 0.8754  6 Ru 2.56
Au 0.7500 0.7500 0.7500  12 Ru 3.00, 4 Pt 3.14
Ru 0.3749 0.8754 0.3749  6 Ru 2.56
Ru 0.8754 0.3749 0.3749  6 Ru 2.56



Record 11
RuPt2Au | PBE-GGA | optimized geometry

**Uncorrected energy**: -5.970 eV/atom
**Volume**: 15.7 A^3/atom
**Magnetic moment**: 0.0 μB/f.u.
**E_form**: 0.75 eV/f.u.

Unit cell a=4.8474 b=4.8474 c=4.8474 alpha=131.29 beta=131.29 gamma=71.35
With the nearest neighbours (Å) after each atom.
Sites, in units of the cell vectors:
Au 0.7500 0.2500 0.5000  8 Pt 2.81-2.83, 4 Ru 2.81
Pt 0.0000 0.0000 0.0000  4 Au 2.81, 4 Pt 2.81, 4 Ru 2.83
Ru 0.5000 0.5000 0.0000  8 Pt 2.81-2.83, 4 Au 2.81
Pt 0.2500 0.7500 0.5000  4 Ru 2.81, 4 Pt 2.81, 4 Au 2.83



Record 12
RuPt2Au | PBE-GGA | optimized geometry

**Uncorrected energy**: -6.035 eV/atom
**Volume**: 15.8 A^3/atom
**Magnetic moment**: 0.0 μB/f.u.
**E_form**: 0.49 eV/f.u.

Unit cell a=2.8369 b=3.8906 c=5.7239 alpha=90.00 beta=90.00 gamma=90.00
With the nearest neighbours (Å) after each atom.
Sites, in units of the cell vectors:
Au 0.5000 0.5000 0.7500  2 Au 2.84, 8 Pt 2.85, 2 Ru 2.86
Pt 0.0000 0.0000 0.4833  3 Pt 2.67-2.84, 4 Ru 2.75, 4 Au 2.85
Ru 0.5000 0.5000 0.2500  8 Pt 2.75, 2 Ru 2.84, 2 Au 2.86
Pt 0.0000 0.0000 0.0167  3 Pt 2.67-2.84, 4 Ru 2.75, 4 Au 2.85